# 1
This record from Alexandria describes a relaxed structure of Pm5HgAu4. The functional is PBE-GGA.

Structure (POSCAR):
```
Pm5HgAu4
1.0
3.709 0.000 0.000
0.000 3.709 0.000
0.000 0.000 18.654
Pm Hg Au
5 1 4
direct
0.000 0.000 0.000
0.000 0.000 0.198
0.000 0.000 0.394
0.000 0.000 0.606
0.000 0.000 0.802
0.500 0.500 0.500
0.500 0.500 0.098
0.500 0.500 0.297
0.500 0.500 0.703
0.500 0.500 0.902
```

Output
Magnetization ... 0.0 μB per cell
E ... -4.441 eV per atom
Space-group type ... P4/mmm, No. 123

# 2
This record from Alexandria describes a relaxed structure of Pm3Hg2Au3. The functional is PBE-GGA.

Structure (POSCAR):
```
Pm3Hg2Au3
1.0
3.787 0.000 0.000
0.000 5.133 0.000
0.000 0.000 20.431
Pm Hg Au
6 4 6
direct
0.000 0.000 0.000
0.000 0.500 0.133
0.000 0.500 0.867
0.500 0.000 0.367
0.500 0.000 0.633
0.500 0.500 0.500
0.000 0.000 0.237
0.000 0.000 0.763
0.500 0.500 0.263
0.500 0.500 0.737
0.000 0.000 0.500
0.000 0.500 0.383
0.000 0.500 0.617
0.500 0.000 0.117
0.500 0.000 0.883
0.500 0.500 0.000
```

Output
Magnetization ... 0.0 μB per cell
Excess energy over the best structure of this formula in the dataset ... 0.000 eV per atom
E ... -3.709 eV per atom
Space-group type ... Immm, No. 71

# 3
This record from Alexandria describes a relaxed structure of Pm8HgAu2. The functional is PBE-GGA.

Structure (POSCAR):
```
Pm8HgAu2
1.0
-2.539 4.195 7.614
2.539 -4.195 7.614
2.539 4.195 -7.614
Pm Hg Au
8 1 2
direct
0.114 0.334 0.780
0.132 0.132 0.000
0.319 0.000 0.319
0.446 0.666 0.780
0.554 0.334 0.220
0.681 0.000 0.681
0.868 0.868 0.000
0.886 0.666 0.220
0.000 0.500 0.500
0.303 0.803 0.500
0.697 0.197 0.500
```

Output
Magnetization ... 0.0 μB per cell
Excess energy over the best structure of this formula in the dataset ... 0.100 eV per atom
E ... -4.339 eV per atom
Space-group type ... Immm, No. 71

# 4
This record from Alexandria describes a relaxed structure of Pm4HgAu3. The functional is PBE-GGA.

Structure (POSCAR):
```
Pm4HgAu3
1.0
3.880 0.000 0.000
0.000 4.829 0.000
0.000 0.000 11.351
Pm Hg Au
4 1 3
direct
0.000 0.000 0.000
0.000 0.500 0.268
0.500 0.000 0.487
0.500 0.500 0.772
0.000 0.000 0.717
0.000 0.500 0.543
0.500 0.000 0.218
0.500 0.500 0.046
```

Output
Magnetization ... 0.0 μB per cell
Excess energy over the best structure of this formula in the dataset ... 0.000 eV per atom
E ... -4.358 eV per atom
Space-group type ... Pmm2, No. 25

Number 1: formation energy -0.72 eV per atom. Number 2: formation energy -0.62 eV per atom. Number 3: formation energy -0.26 eV per atom. Number 4: formation energy -0.72 eV per atom.